1.
Compound: Sm3DyPa2N6
Source: the Alexandria database
Functional: GGA-PBE
Structure: relaxed

Values from the calculation:
**Raw formation energy**: -19.599 eV per formula unit

Cell and atoms, written as extended XYZ:
```
12
Lattice="3.0574 -5.2989 0.0000 3.0574 5.2989 0.0000 -2.0357 0.0000 5.7922" Properties=species:S:1:pos:R:3 pbc="T T T"
Sm 0.0000 0.0000 0.0000
Sm 3.0574 1.7549 0.0000
Sm 3.0574 -1.7549 0.0000
Dy 2.0395 0.0000 2.8961
Pa 2.0395 3.5315 2.8961
Pa 2.0395 -3.5315 2.8961
N 0.9816 1.8290 1.5965
N -0.0681 0.0000 4.1996
N 0.9816 -1.8290 1.5965
N 3.0975 1.8290 4.1957
N 4.1472 0.0000 1.5926
N 3.0975 -1.8290 4.1957
```

***

2.
Compound: AcMgBiTe
Source: the Alexandria database
Functional: GGA-PBE
Structure: relaxed

Values from the calculation:
**Raw formation energy**: -3.072 eV per formula unit

Cell and atoms, written as extended XYZ:
```
8
Lattice="5.4148 0.0000 0.0000 0.0000 5.4148 0.0000 0.0000 0.0000 9.4311" Properties=species:S:1:pos:R:3 pbc="T T T"
Ac 1.3537 1.3537 1.8125
Ac 4.0611 4.0611 7.6186
Mg 1.3537 4.0611 4.7156
Mg 4.0611 1.3537 4.7156
Bi 1.3537 1.3537 6.0335
Bi 4.0611 4.0611 3.3976
Te 1.3537 4.0611 0.0000
Te 4.0611 1.3537 0.0000
```

***

3.
Compound: Pm5Bi4H
Source: the Alexandria database
Functional: GGA-PBE
Structure: relaxed

Values from the calculation:
**Total energy**: -4.9607 eV per atom

Cell and atoms, written as extended XYZ:
```
10
Lattice="-5.0149 5.0149 3.2129 5.0149 -5.0149 3.2129 5.0149 5.0149 -3.2129" Properties=species:S:1:pos:R:3 pbc="T T T"
Pm 0.0000 0.0000 0.0000
Pm 6.0436 2.0102 0.5264
Pm 2.0102 3.9862 0.5264
Pm 3.0047 1.0287 3.7394
Pm -1.0287 3.0047 3.7394
Bi 2.9946 0.9748 0.5265
Bi 4.0401 -2.0203 3.7394
Bi 0.9748 7.0352 0.5265
Bi 2.0203 4.0401 3.7394
H 0.0000 0.0000 4.1035
```

***

4.
Compound: Zr2Np2Te2S5
Source: the Alexandria database
Functional: GGA-PBE
Structure: relaxed

Values from the calculation:
**Raw formation energy**: -12.506 eV per formula unit

Cell and atoms, written as extended XYZ:
```
11
Lattice="-2.4140 2.4140 13.4565 2.4140 -2.4140 13.4565 2.4140 2.4140 -13.4565" Properties=species:S:1:pos:R:3 pbc="T T T"
Zr 0.0000 0.0000 2.4087
Zr 0.0000 0.0000 24.5044
Np 0.0000 0.0000 8.8349
Np 0.0000 0.0000 18.0782
Te 0.0000 0.0000 5.6947
Te 0.0000 0.0000 21.2184
S 0.0000 0.0000 0.0000
S 2.4140 0.0000 3.0704
S 2.4140 0.0000 10.3862
S 0.0000 2.4140 3.0704
S 0.0000 2.4140 10.3862
```

***

5.
Compound: LiSb3Pd
Source: the Alexandria database
Functional: GGA-PBE
Structure: relaxed

Values from the calculation:
**Raw formation energy**: 0.922 eV per formula unit

Cell and atoms, written as extended XYZ:
```
5
Lattice="5.2976 0.0000 0.0000 0.0000 5.2976 0.0000 0.0000 0.0000 5.2976" Properties=species:S:1:pos:R:3 pbc="T T T"
Li 0.0000 0.0000 0.0000
Sb 0.0000 2.6488 2.6488
Sb 2.6488 0.0000 2.6488
Sb 2.6488 2.6488 0.0000
Pd 2.6488 2.6488 2.6488
```

***

6.
Compound: Os2RuW
Source: the Alexandria database
Functional: GGA-PBE
Structure: relaxed

Values from the calculation:
**E_form**: 17 kJ/mol of atoms

Cell and atoms, written as extended XYZ:
```
8
Lattice="4.2664 0.0000 0.0000 0.0000 2.7480 0.0000 0.0000 0.0000 10.1386" Properties=species:S:1:pos:R:3 pbc="T T T"
Os 0.0000 0.0000 0.0000
Os 0.0000 1.3740 5.0693
Os 2.1332 0.0000 3.5737
Os 2.1332 1.3740 8.6430
Ru 0.0000 0.0000 7.5342
Ru 0.0000 1.3740 2.4649
W 2.1332 0.0000 6.2112
W 2.1332 1.3740 1.1419
```

***

The calculation returns the following N(E_F) values, one per record and in order: 5.04 2.38 4.91 18.78 5.40 6.23 states/eV/cell.
The calculation returns the following spin magnetization values, one per record and in order: 0.00 0.00 0.00 7.86 0.00 0.00 μB/f.u..